VASP calculation (PBE) on a geometry-optimized Pm2SmUAs4 structure.

- Volume: 26.0 Å³ per atom
- Theoretical density: 7.8 g cm⁻³
- SG: P2/m, No. 10
- Total DFT energy (no corrections): -54.71 eV per cell

a b c (Å): 7.2587 4.1746 7.2590
angles (deg): 90.00 109.14 90.00
With the nearest neighbours (Å) after each atom.
Fractional positions:
Pm  0.0000  0.0000  0.0000  6 As 3.01-3.03
Pm  0.5000  0.5000  0.0000  6 As 2.96-2.97
Sm  0.0000  0.5000  0.5000  6 As 2.95-2.96
U  0.5000  0.0000  0.5000  6 As 2.88-2.92
As  0.2552  0.0000  0.7428  1 U 2.88, 2 Sm 2.96, 3 Pm 2.97-3.03
As  0.2576  0.5000  0.2586  2 U 2.92, 1 Sm 2.95, 3 Pm 2.96-3.01
As  0.7424  0.5000  0.7414  2 U 2.92, 1 Sm 2.95, 3 Pm 2.96-3.01
As  0.7448  0.0000  0.2572  1 U 2.88, 2 Sm 2.96, 3 Pm 2.97-3.03